# 1
## NaMnAgAs (PBE)

Data for NaMnAgAs after structural relaxation.

Calculated values
V in Å³ per atom: 20.2
Formation enthalpy at 0 K in eV/atom: -0.150

a = 3.8496 Å, b = 3.8496 Å, c = 10.8799 Å
α = 90.00°, β = 90.00°, γ = 90.00°
Sites, in units of the cell vectors:
Na: 0.2500 0.2500 0.2377
Na: 0.7500 0.7500 0.7623
Mn: 0.2500 0.7500 0.5000
Mn: 0.7500 0.2500 0.5000
Ag: 0.2500 0.7500 0.0000
Ag: 0.7500 0.2500 0.0000
As: 0.2500 0.2500 0.6327
As: 0.7500 0.7500 0.3673


# 2
## CrCoCu2 (PBE)

Data for CrCoCu2 after structural relaxation.

Calculated values
V in Å³ per atom: 11.9
Formation enthalpy at 0 K in eV/atom: 0.285

a = 4.0718 Å, b = 4.0718 Å, c = 4.0718 Å
α = 60.00°, β = 60.00°, γ = 60.00°
Sites, in units of the cell vectors:
Cr: 0.0000 0.0000 0.0000
Co: 0.7500 0.7500 0.7500
Cu: 0.2500 0.2500 0.2500
Cu: 0.5000 0.5000 0.5000


# 3
## Sm6Tl3Rh (PBE)

Data for Sm6Tl3Rh after structural relaxation.

Calculated values
Polymorph energy (0 for the lowest one) in meV/atom: 29
V in Å³ per atom: 30.0
Formation enthalpy at 0 K in eV/atom: -0.317

a = 11.5227 Å, b = 3.7614 Å, c = 14.5582 Å
α = 90.00°, β = 107.85°, γ = 90.00°
Sites, in units of the cell vectors:
Sm: 0.0012 0.2500 0.1785
Sm: 0.0956 0.7500 0.4162
Sm: 0.2729 0.2500 0.8442
Sm: 0.3247 0.2500 0.2622
Sm: 0.3812 0.2500 0.6406
Sm: 0.4016 0.7500 0.0685
Sm: 0.5984 0.2500 0.9315
Sm: 0.6188 0.7500 0.3594
Sm: 0.6753 0.7500 0.7378
Sm: 0.7271 0.7500 0.1558
Sm: 0.9044 0.2500 0.5838
Sm: 0.9988 0.7500 0.8215
Tl: 0.1414 0.2500 0.0196
Tl: 0.1406 0.7500 0.6513
Tl: 0.3847 0.7500 0.4525
Tl: 0.6153 0.2500 0.5475
Tl: 0.8594 0.2500 0.3487
Tl: 0.8586 0.7500 0.9804
Rh: 0.4478 0.7500 0.8030
Rh: 0.5522 0.2500 0.1970


# 4
## ScCdGaPd (PBE)

Data for ScCdGaPd after structural relaxation.

Calculated values
V in Å³ per atom: 18.1
Formation enthalpy at 0 K in eV/atom: -0.536

a = 4.6797 Å, b = 4.6797 Å, c = 4.6797 Å
α = 60.00°, β = 60.00°, γ = 60.00°
Sites, in units of the cell vectors:
Sc: 0.0000 0.0000 0.0000
Cd: 0.5000 0.5000 0.5000
Ga: 0.7500 0.7500 0.7500
Pd: 0.2500 0.2500 0.2500


# 5
## Er4BeSe2S (PBE)

Data for Er4BeSe2S after structural relaxation.

Calculated values
Energy relative to the elements, uncorrected in eV/atom: -1.36
V in Å³ per atom: 22.3

a = 6.9245 Å, b = 3.8764 Å, c = 7.0010 Å
α = 90.00°, β = 108.28°, γ = 90.00°
Sites, in units of the cell vectors:
Er: 0.2366 0.0000 0.2309
Er: 0.2481 0.5000 0.7702
Er: 0.7519 0.5000 0.2298
Er: 0.7634 0.0000 0.7691
Be: 0.0000 0.5000 0.0000
Se: 0.0000 0.0000 0.5000
Se: 0.5000 0.5000 0.5000
S: 0.5000 0.0000 0.0000


# 6
## Ir2PtBr (PBE)

Data for Ir2PtBr after structural relaxation.

Calculated values
Polymorph energy (0 for the lowest one) in meV/atom: 0
Energy relative to the elements, uncorrected in eV/atom: 0.50
V in Å³ per atom: 18.2

a = 3.5284 Å, b = 7.5574 Å, c = 7.5574 Å
α = 21.21°, β = 90.00°, γ = 90.00°
Sites, in units of the cell vectors:
Ir: 0.0000 0.0000 0.0000
Ir: 0.5000 0.4095 0.4095
Pt: 0.0000 0.2846 0.2846
Br: 0.5000 0.1304 0.1304


# 7
## Mn2Sn2P (PBE)

Data for Mn2Sn2P after structural relaxation.

Calculated values
Polymorph energy (0 for the lowest one) in meV/atom: 0
V in Å³ per atom: 19.3
Formation enthalpy at 0 K in eV/atom: 0.437

a = 8.0287 Å, b = 8.0287 Å, c = 2.9911 Å
α = 90.00°, β = 90.00°, γ = 90.00°
Sites, in units of the cell vectors:
Mn: 0.1143 0.3857 0.0000
Mn: 0.3857 0.8857 0.0000
Mn: 0.6143 0.1143 0.0000
Mn: 0.8857 0.6143 0.0000
Sn: 0.1806 0.6806 0.5000
Sn: 0.3194 0.1806 0.5000
Sn: 0.6806 0.8194 0.5000
Sn: 0.8194 0.3194 0.5000
P: 0.0000 0.0000 0.5000
P: 0.5000 0.5000 0.5000


# 8
## Pr7Tl2N (PBE)

Data for Pr7Tl2N after structural relaxation.

Calculated values
Energy relative to the elements, uncorrected in eV/atom: -0.01
V in Å³ per atom: 30.5

a = 7.5584 Å, b = 7.5584 Å, c = 7.5584 Å
α = 60.00°, β = 60.00°, γ = 60.00°
Sites, in units of the cell vectors:
Pr: 0.0000 0.0000 0.0000
Pr: 0.2697 0.2697 0.7303
Pr: 0.2697 0.7303 0.2697
Pr: 0.2697 0.7303 0.7303
Pr: 0.7303 0.2697 0.2697
Pr: 0.7303 0.2697 0.7303
Pr: 0.7303 0.7303 0.2697
Tl: 0.2500 0.2500 0.2500
Tl: 0.7500 0.7500 0.7500
N: 0.5000 0.5000 0.5000


# 9
## MgAs2S2 (PBE)

Data for MgAs2S2 after structural relaxation.

Calculated values
Polymorph energy (0 for the lowest one) in meV/atom: 0
Energy relative to the elements, uncorrected in eV/atom: -0.03
V in Å³ per atom: 22.4

a = 7.9209 Å, b = 7.9209 Å, c = 3.5641 Å
α = 90.00°, β = 90.00°, γ = 90.00°
Sites, in units of the cell vectors:
Mg: 0.0000 0.0000 0.0000
Mg: 0.5000 0.5000 0.0000
As: 0.2122 0.2878 0.0000
As: 0.2878 0.7878 0.0000
As: 0.7122 0.2122 0.0000
As: 0.7878 0.7122 0.0000
S: 0.1498 0.6498 0.5000
S: 0.3502 0.1498 0.5000
S: 0.6498 0.8502 0.5000
S: 0.8502 0.3502 0.5000


# 10
## LiPm2Tl2 (PBE)

Data for LiPm2Tl2 after structural relaxation.

Calculated values
Polymorph energy (0 for the lowest one) in meV/atom: 0
V in Å³ per atom: 27.4
Formation enthalpy at 0 K in eV/atom: -0.274

a = 6.4371 Å, b = 6.4371 Å, c = 6.4371 Å
α = 144.70°, β = 114.57°, γ = 76.58°
Sites, in units of the cell vectors:
Li: 0.0000 0.0000 0.0000
Pm: 0.2782 0.7782 0.5000
Pm: 0.7218 0.2218 0.5000
Tl: 0.2716 0.5000 0.7716
Tl: 0.7284 0.5000 0.2284


# 11
## Zr4ZnN2 (PBE)

Data for Zr4ZnN2 after structural relaxation.

Calculated values
Energy relative to the elements, uncorrected in eV/atom: -1.12
V in Å³ per atom: 15.9

a = 5.8760 Å, b = 5.8760 Å, c = 11.7195 Å
α = 90.00°, β = 90.00°, γ = 146.71°
Sites, in units of the cell vectors:
Zr: 0.0000 0.0000 0.0000
Zr: 0.0000 0.0000 0.5000
Zr: 0.2600 0.7400 0.6057
Zr: 0.2600 0.7400 0.8943
Zr: 0.4232 0.5768 0.2500
Zr: 0.5768 0.4232 0.7500
Zr: 0.7400 0.2600 0.1057
Zr: 0.7400 0.2600 0.3943
Zn: 0.1128 0.8872 0.2500
Zn: 0.8872 0.1128 0.7500
N: 0.3672 0.6328 0.0615
N: 0.3672 0.6328 0.4385
N: 0.6328 0.3672 0.5615
N: 0.6328 0.3672 0.9385


# 12
## TaIn3O7 (PBE)

Data for TaIn3O7 after structural relaxation.

Calculated values
Polymorph energy (0 for the lowest one) in meV/atom: 0
Energy relative to the elements, uncorrected in eV/atom: -1.90
V in Å³ per atom: 12.8

a = 6.2907 Å, b = 6.2978 Å, c = 7.4999 Å
α = 88.67°, β = 74.16°, γ = 81.38°
Sites, in units of the cell vectors:
Ta: 0.0000 0.0000 0.0000
Ta: 0.0000 0.0000 0.5000
In: 0.0047 0.5351 0.2532
In: 0.4514 0.2620 0.9035
In: 0.4684 0.2766 0.3804
In: 0.5316 0.7234 0.6196
In: 0.5486 0.7380 0.0965
In: 0.9953 0.4649 0.7468
O: 0.0511 0.9063 0.2368
O: 0.0560 0.2913 0.0296
O: 0.0941 0.2895 0.4404
O: 0.3157 0.8979 0.4785
O: 0.3420 0.4341 0.6705
O: 0.3544 0.4803 0.1601
O: 0.3574 0.9318 0.8907
O: 0.6426 0.0682 0.1093
O: 0.6456 0.5197 0.8399
O: 0.6580 0.5659 0.3295
O: 0.6843 0.1021 0.5215
O: 0.9059 0.7105 0.5596
O: 0.9440 0.7087 0.9704
O: 0.9489 0.0937 0.7632


Computed values of DFT total energy (unit: eV per cell) for the preceding records, in sequence: -37.18; -23.78; -91.86; -17.61; -43.92; -23.43; -59.14; -46.62; -38.57; -17.52; -119.93; -151.46.
Computed values of magnetic moment (unit: Bohr magnetons per cell) for the preceding records, in sequence: 3.7; 1.7; 0.0; 0.0; 0.0; 0.0; 13.7; 0.4; 0.0; 0.0; 0.0; 0.0.